Record 1
Below is crystalline BaIr2O6 at its relaxed geometry, with properties calculated at the GGA-PBE level.

Cell and atoms, written as POSCAR:
```
BaIr2O6
1.0
5.3884 0.0000 0.0000
-2.6942 4.6665 0.0000
0.0000 0.0000 5.6024
Ba Ir O
1 2 6
Direct
0.0000 0.0000 0.0000
0.3333 0.6667 0.5000
0.6667 0.3333 0.5000
0.0000 0.3943 0.6930
0.0000 0.6057 0.3070
0.3943 0.0000 0.6930
0.3943 0.3943 0.3070
0.6057 0.0000 0.3070
0.6057 0.6057 0.6930
```

Calculated values
Distance to the lowest polymorph of the same formula   0 meV per atom
VASP energy   -6.757 eV per atom
Formation energy from raw total energies   -1.27 eV per atom
Space-group type   P-31m

---

Record 2
Below is crystalline Pm3Al2Ge6 at its relaxed geometry, with properties calculated at the GGA-PBE level.

Cell and atoms, written as POSCAR:
```
Pm3Al2Ge6
1.0
-2.1539 2.1539 13.6867
2.1539 -2.1539 13.6867
2.1539 2.1539 -13.6867
Pm Al Ge
3 2 6
Direct
0.0000 0.0000 0.0000
0.1658 0.1658 0.0000
0.8342 0.8342 0.0000
0.3633 0.3633 0.0000
0.6367 0.6367 0.0000
0.0802 0.5802 0.5000
0.2725 0.2725 0.0000
0.4198 0.9198 0.5000
0.5802 0.0802 0.5000
0.7275 0.7275 0.0000
0.9198 0.4198 0.5000
```

Calculated values
Energy of formation from the pure elements   -0.42 eV/atom
VASP energy   -4.913 eV per atom
Space-group type   I4/mmm

---

Record 3
Below is crystalline CaAsP at its relaxed geometry, with properties calculated at the GGA-PBE level.

Cell and atoms, written as POSCAR:
```
CaAsP
1.0
-1.9927 1.9927 4.6946
1.9927 -1.9927 4.6946
1.9927 1.9927 -4.6946
Ca As P
1 1 1
Direct
0.0000 0.0000 0.0000
0.3463 0.3463 0.0000
0.5841 0.5841 0.0000
```

Calculated values
Energy of formation from the pure elements   -0.49 eV/atom
Distance to the lowest polymorph of the same formula   234 meV per atom
VASP energy   -4.511 eV per atom
Space-group type   I4mm

---

Record 4
Below is crystalline Np2In8Ag at its relaxed geometry, with properties calculated at the GGA-PBE level.

Cell and atoms, written as POSCAR:
```
Np2In8Ag
1.0
4.7273 0.0000 0.0000
0.0000 4.7273 0.0000
0.0000 0.0000 12.2640
Np In Ag
2 8 1
Direct
0.0000 0.0000 0.1875
0.0000 0.0000 0.8125
0.0000 0.5000 0.0000
0.0000 0.5000 0.3662
0.0000 0.5000 0.6338
0.5000 0.0000 0.0000
0.5000 0.0000 0.3662
0.5000 0.0000 0.6338
0.5000 0.5000 0.1861
0.5000 0.5000 0.8139
0.0000 0.0000 0.5000
```

Calculated values
Energy of formation from the pure elements   0.00 eV/atom
VASP energy   -4.605 eV per atom
Space-group type   P4/mmm